[1]
Ca2TlF6 | PBE | relaxed

Calculated values
Total magnetic moment: 1.544 μB/cell
Formation energy (no corrections): -3139 meV per atom

Cell lengths 5.337, 5.337, 11.060 Å; angles 90.00, 90.00, 90.00 degrees
Space group P4_2/mnm (No. 136)
Asymmetric unit:
Ca1 0.000 0.000 0.167
Tl1 0.000 0.000 0.500
F1 0.182 0.182 0.000
F2 0.198 0.198 0.324

---

[2]
CaTlF3 | PBE | relaxed

Calculated values
Total magnetic moment: 0.000 μB/cell
Formation energy (no corrections): -1995 meV per atom

Cell lengths 4.804, 4.804, 4.804 Å; angles 90.00, 90.00, 90.00 degrees
Space group Pm-3m (No. 221)
Asymmetric unit:
Ca1 0.000 0.000 0.000
Tl1 0.500 0.500 0.500
F1 0.000 0.500 0.500

---

[3]
CaTlF3 | PBE | relaxed

Calculated values
Total magnetic moment: 0.000 μB/cell
Formation energy (no corrections): -3056 meV per atom

Cell lengths 6.3706, 6.3706, 15.5721 Å; angles 90.00, 90.00, 120.00 degrees
Space group R3c (No. 161, hexagonal axes)
Asymmetric unit:
Ca1 0.0000 0.0000 0.0000
Tl1 0.0000 0.0000 0.2603
F1 0.1193 0.3419 0.0781